Compound: MnFeP2O8
Source: Alexandria via LeMat-Bulk
Functional: PBE+U
Structure: optimized geometry

Lattice parameters (Å, degrees): 4.8990 6.0025 9.9203 90.00 90.00 90.00
Last column: nearest neighbours and their distance in Å.
Fractional coordinates of all 24 atoms:
O  0.8465  0.5000  0.3037  1 P 1.54
O  0.7349  0.7012  0.5804  1 P 1.56
O  0.2162  0.5000  0.1280  1 P 1.53
O  0.7613  0.2998  0.0786  1 P 1.58
O  0.2613  0.7998  0.9214  1 P 1.58
O  0.1379  0.0000  0.1977  1 P 1.53
O  0.7613  0.7002  0.0786  1 P 1.58
O  0.2349  0.2012  0.4196  1 P 1.56
O  0.7349  0.2988  0.5804  1 P 1.56
O  0.2779  0.5000  0.6255  1 P 1.54
O  0.2349  0.7988  0.4196  1 P 1.56
O  0.2613  0.2002  0.9214  1 P 1.58
O  0.7162  0.0000  0.8720  1 P 1.53
O  0.6379  0.5000  0.8023  1 P 1.53
O  0.7779  0.0000  0.3745  1 P 1.54
O  0.3465  0.0000  0.6963  1 P 1.54
P  0.5890  0.5000  0.6496  4 O 1.53-1.56
P  0.9084  0.5000  0.1519  4 O 1.53-1.58
P  0.4084  0.0000  0.8481  4 O 1.53-1.58
P  0.0890  0.0000  0.3504  4 O 1.53-1.56
Mn  0.5740  0.0000  0.5380  4 O 1.91-2.00
Mn  0.0740  0.5000  0.4620  4 O 1.91-2.00
Fe  0.9581  0.0000  0.0256  4 O 1.92-2.11
Fe  0.4581  0.5000  0.9744  4 O 1.92-2.11

Output
Symmetry = Pmn2_1 (31)
Distance to the lowest polymorph of the same formula = 0.0 meV per atom
Size of the total moment = 9.00 μB per formula unit
Calculated total energy = -174.1 eV/cell